## KSi2Mo (PBE)

Data for KSi2Mo after structural relaxation.

abc: 4.210 2.791 7.827
angles: 89.78 90.00 90.00
Fractional positions:
Mo 0.500 0.627 0.920
Si 0.000 0.127 0.895
K 0.000 0.622 0.494
Si 0.500 0.124 0.192

## Properties
As for the space-group type: Pm (6). For the formation energy without anion corrections, the calculation gives 0.25 eV/atom. The offset from the most stable computed form is 0.1692 eV per atom.

## Cs3Ac2CeTe6 (PBE)

Data for Cs3Ac2CeTe6 after structural relaxation.

abc: 8.410 8.410 9.380
angles: 98.61 98.61 119.99
Fractional positions:
Ce 0.000 0.000 0.000
Ac 0.666 0.334 0.000
Te 0.934 0.610 0.801
Te 0.257 0.257 0.801
Cs 0.169 0.831 0.500
Te 0.066 0.390 0.199
Te 0.743 0.743 0.199
Te 0.390 0.066 0.199
Cs 0.831 0.169 0.500
Ac 0.334 0.666 0.000
Cs 0.500 0.500 0.500
Te 0.610 0.934 0.801

## Properties
As for the space-group type: C2/m (12). For the formation energy without anion corrections, the calculation gives -1.45 eV/atom.

## K3HfGe2O8 (PBE)

Data for K3HfGe2O8 after structural relaxation.

abc: 5.793 5.793 7.675
angles: 90.00 90.00 120.00
Fractional positions:
K 0.333 0.667 0.697
O 0.832 0.168 0.659
O 0.667 0.333 0.968
K 0.667 0.333 0.303
K 0.000 0.000 0.000
O 0.333 0.667 0.032
O 0.665 0.832 0.341
O 0.168 0.832 0.341
Ge 0.667 0.333 0.740
O 0.168 0.335 0.341
Hf 0.000 0.000 0.500
O 0.335 0.168 0.659
O 0.832 0.665 0.659
Ge 0.333 0.667 0.260

## Properties
As for the space-group type: P-3m1 (164). For the formation energy without anion corrections, the calculation gives -2.04 eV/atom.

## TlBRh3 (PBE)

Data for TlBRh3 after structural relaxation.

abc: 4.729 6.247 5.752
angles: 102.17 88.42 61.86
Fractional positions:
Rh 0.666 0.359 0.634
B 0.189 0.205 0.647
Rh 0.166 0.859 0.634
Tl 0.566 0.498 0.147
Rh 0.021 0.563 0.893
Rh 0.521 0.063 0.893
Rh 0.116 0.430 0.391
Rh 0.616 0.930 0.391
Tl 0.066 0.998 0.147
B 0.689 0.705 0.647

## Properties
As for the space-group type: P1 (1). The value obtained for the formation energy is -0.08 eV per atom.

## Ge3SeBr (PBE)

Data for Ge3SeBr after structural relaxation.

abc: 5.297 5.297 5.297
angles: 90.00 90.00 90.00
Fractional positions:
Ge 0.000 0.000 0.500
Ge 0.000 0.500 0.000
Se 0.000 0.000 0.000
Br 0.500 0.500 0.500
Ge 0.500 0.000 0.000

## Properties
As for the space-group type: Pm-3m (221). For the formation energy without anion corrections, the calculation gives 0.62 eV/atom. The offset from the most stable computed form is 0.0000 eV per atom.

## MgAg2Cl5 (PBE)

Data for MgAg2Cl5 after structural relaxation.

abc: 6.088 6.872 6.872
angles: 80.26 62.88 62.88
Fractional positions:
Cl 0.065 0.780 0.310
Cl 0.633 0.982 0.982
Cl 0.692 0.318 0.318
Cl 0.065 0.310 0.780
Cl 0.406 0.744 0.744
Mg 0.979 0.020 0.020
Ag 0.580 0.584 0.039
Ag 0.580 0.039 0.584

## Properties
As for the space-group type: Cm (8). For the formation energy without anion corrections, the calculation gives -0.91 eV/atom.

## RbCe2Tl3Se6 (PBE)

Data for RbCe2Tl3Se6 after structural relaxation.

abc: 4.373 9.238 10.296
angles: 102.69 102.26 90.00
Fractional positions:
Ce 0.172 0.335 0.344
Se 0.035 0.282 0.070
Tl 0.838 0.171 0.675
Rb 0.500 0.000 0.000
Se 0.965 0.718 0.930
Se 0.681 0.132 0.362
Ce 0.828 0.665 0.656
Se 0.678 0.557 0.356
Tl 0.162 0.829 0.325
Se 0.319 0.868 0.638
Tl 0.500 0.500 0.000
Se 0.322 0.443 0.644

## Properties
As for the space-group type: C2/m (12). For the formation energy without anion corrections, the calculation gives -1.13 eV/atom.

## Na3Tm3AuO8 (PBE)

Data for Na3Tm3AuO8 after structural relaxation.

abc: 6.699 6.647 6.799
angles: 119.75 90.00 120.26
Fractional positions:
Tm 0.500 0.500 0.500
O 0.221 0.441 0.698
O 0.779 0.559 0.302
Na 0.000 0.500 0.000
Na 0.500 0.500 0.000
O 0.237 0.978 0.711
Au 0.000 0.000 0.500
O 0.737 0.474 0.704
O 0.259 0.022 0.289
O 0.741 0.978 0.711
Tm 0.500 0.000 0.500
O 0.263 0.526 0.296
Na 0.000 0.000 0.000
O 0.763 0.022 0.289
Tm 0.000 0.500 0.500

## Properties
As for the space-group type: C2/m (12). For the formation energy without anion corrections, the calculation gives -2.25 eV/atom.

V for the records above, in order: 23.0, 45.7, 15.9, 14.5, 29.7, 28.4, 33.0, 14.3 Å³/atom